# 1
The following is a DFT calculation (GGA-PBE) of a geometry-optimized Ce2Ho2Ir3 structure.

Summary:
As for the magnetic moment: 1.372 μB per cell. The value obtained for the energy above the most stable polymorph in this dataset is 0.538 eV/f.u.

a = 10.6292 Å, b = 4.6410 Å, c = 7.2649 Å
α = 90.00°, β = 101.64°, γ = 90.00°
Closest atoms and distances in Å follow each position.
Space group C2/m (No. 12)
Inequivalent atoms, fractional coordinates:
Ce  0.1290  0.0000  0.3595 (multiplicity 4)  2 Ir 2.56-2.69
Ho  0.1381  0.5000  0.9208 (multiplicity 4)  5 Ir 2.87
Ir  0.0000  0.0000  0.0000 (multiplicity 2)  2 Ce 2.69, 4 Ho 2.87
Ir  0.1920  0.0000  0.7181 (multiplicity 4)  1 Ce 2.56


# 2
The following is a DFT calculation (GGA-PBE) of a geometry-optimized Ce4Ho3Ir4 structure.

Summary:
As for the magnetic moment: 3.858 μB per cell.

a = 3.9688 Å, b = 9.0476 Å, c = 14.8789 Å
α = 90.00°, β = 90.00°, γ = 90.00°
Closest atoms and distances in Å follow each position.
Space group Immm (No. 71)
Inequivalent atoms, fractional coordinates:
Ce  0.0000  0.2020  0.1669 (multiplicity 8)  3 Ir 2.71-2.76
Ho  0.0000  0.0000  0.3910 (multiplicity 4)  6 Ir 3.03-3.39, 1 Ho 3.24
Ho  0.0000  0.5000  0.5000 (multiplicity 2)  2 Ir 3.07
Ir  0.0000  0.3206  0.0000 (multiplicity 4)  2 Ce 2.71
Ir  0.0000  0.5000  0.2936 (multiplicity 4)  4 Ce 2.76, 1 Ho 3.07


# 3
The following is a DFT calculation (GGA-PBE) of a geometry-optimized CeHo2Ir structure.

Summary:
As for the magnetic moment: 3.349 μB per cell. The value obtained for the energy above the most stable polymorph in this dataset is 0.000 eV/f.u.

a = 7.1350 Å, b = 9.4083 Å, c = 6.4246 Å
α = 90.00°, β = 90.00°, γ = 90.00°
Closest atoms and distances in Å follow each position.
Space group Pnma (No. 62)
Inequivalent atoms, fractional coordinates:
Ce  0.0389  0.2500  0.1438 (multiplicity 4)  2 Ir 2.69-2.84
Ho  0.1768  0.0642  0.6669 (multiplicity 8)  2 Ir 2.88-2.91
Ir  0.1255  0.7500  0.4537 (multiplicity 4)  2 Ce 2.69-2.84, 4 Ho 2.88-2.91


# 4
The following is a DFT calculation (GGA-PBE) of a geometry-optimized CeHoIr structure.

Summary:
As for the magnetic moment: 3.746 μB per cell. The value obtained for the energy above the most stable polymorph in this dataset is 0.012 eV/f.u.

a = 6.8407 Å, b = 6.8407 Å, c = 6.8407 Å
α = 90.00°, β = 90.00°, γ = 90.00°
Closest atoms and distances in Å follow each position.
Space group F-43m (No. 216)
Inequivalent atoms, fractional coordinates:
Ce  0.0000  0.0000  0.0000 (multiplicity 4)  4 Ir 2.96
Ho  0.0000  0.0000  0.5000 (multiplicity 4)  4 Ir 2.96
Ir  0.2500  0.2500  0.7500 (multiplicity 4)  4 Ce 2.96, 4 Ho 2.96


# 5
The following is a DFT calculation (GGA-PBE) of a geometry-optimized Ce2HoIr2 structure.

Summary:
As for the magnetic moment: 0.001 μB per cell. The value obtained for the energy above the most stable polymorph in this dataset is 2.158 eV/f.u.

a = 5.2172 Å, b = 7.3931 Å, c = 5.8244 Å
α = 90.00°, β = 90.21°, γ = 90.00°
Closest atoms and distances in Å follow each position.
Space group C2/m (No. 12)
Inequivalent atoms, fractional coordinates:
Ce  0.0000  0.1903  0.0000 (multiplicity 4)  3 Ce 2.75-2.81, 2 Ir 2.75
Ho  0.0000  0.0000  0.5000 (multiplicity 2)  4 Ir 2.95, 4 Ce 3.23
Ir  0.9996  0.5000  0.2627 (multiplicity 4)  2 Ce 2.75, 2 Ir 2.76-3.06, 2 Ho 2.95


# 6
The following is a DFT calculation (GGA-PBE) of a geometry-optimized CeHo2Ir structure.

Summary:
As for the magnetic moment: 1.363 μB per cell. The value obtained for the energy above the most stable polymorph in this dataset is 0.544 eV/f.u.

a = 3.4432 Å, b = 3.4432 Å, c = 8.7396 Å
α = 90.00°, β = 90.00°, γ = 90.00°
Closest atoms and distances in Å follow each position.
Space group P4/mmm (No. 123)
Inequivalent atoms, fractional coordinates:
Ce  0.0000  0.0000  0.0000 (multiplicity 1)  4 Ce 3.44, 8 Ho 3.66
Ho  0.5000  0.5000  0.3121 (multiplicity 2)  4 Ir 2.94, 1 Ho 3.28
Ir  0.0000  0.0000  0.5000 (multiplicity 1)  8 Ho 2.94


# 7
The following is a DFT calculation (GGA-PBE) of a geometry-optimized CeHo3Ir8 structure.

Summary:
As for the magnetic moment: 0.001 μB per cell.

a = 5.3656 Å, b = 5.3656 Å, c = 26.2552 Å
α = 90.00°, β = 90.00°, γ = 120.00°
Closest atoms and distances in Å follow each position.
Space group R3m (No. 160, hexagonal axes)
Inequivalent atoms, fractional coordinates:
Ce  0.0000  0.0000  0.0000 (multiplicity 3)  12 Ir 3.14-3.15, 4 Ho 3.29-3.30
Ho  0.0000  0.0000  0.3763 (multiplicity 3)  12 Ir 3.13-3.17, 1 Ho 3.27, 3 Ce 3.30
Ho  0.0000  0.0000  0.5009 (multiplicity 3)  12 Ir 3.13-3.15, 4 Ho 3.27
Ho  0.0000  0.0000  0.8745 (multiplicity 3)  12 Ir 3.12-3.15, 3 Ho 3.27, 1 Ce 3.29
Ir  0.0000  0.0000  0.1878 (multiplicity 3)  6 Ir 2.67-2.68
Ir  0.0000  0.0000  0.6881 (multiplicity 3)  6 Ir 2.68-2.69
Ir  0.9997  0.4999  0.4380 (multiplicity 9)  6 Ir 2.68-2.69
Ir  0.0012  0.5006  0.9377 (multiplicity 9)  6 Ir 2.67-2.69


# 8
The following is a DFT calculation (GGA-PBE) of a geometry-optimized Ce3Ho2Ir2 structure.

Summary:
As for the magnetic moment: 0.003 μB per cell.

a = 11.2856 Å, b = 4.0673 Å, c = 8.5838 Å
α = 90.00°, β = 114.33°, γ = 90.00°
Closest atoms and distances in Å follow each position.
Space group C2/m (No. 12)
Inequivalent atoms, fractional coordinates:
Ce  0.0000  0.0000  0.0000 (multiplicity 2)  4 Ir 2.75
Ce  0.1573  0.0000  0.4570 (multiplicity 4)  2 Ce 2.79, 1 Ir 2.94
Ho  0.1532  0.5000  0.8071 (multiplicity 4)  3 Ir 2.87-3.15
Ir  0.1637  0.5000  0.1796 (multiplicity 4)  3 Ce 2.75-2.94, 2 Ho 2.87


The density of states at the Fermi level results, record by record, are as follows: 16.894 38.390 30.909 31.062 14.267 6.385 25.254 22.783 states/eV per cell.
The energy relative to the elements results, record by record, are as follows: -0.679 -0.562 -0.526 -0.547 -0.265 -0.390 -0.805 -0.510 eV/atom.